TaIn3Ge: relaxed, GGA-PBE.

Results
Excess energy over the best structure of this formula in the dataset: 355 meV per atom
Energy of formation: 1.248 eV/atom
Spin magnetization: 2.4 μB/cell
Space group: Pm-3m, No. 221

a b c (Å): 5.192 5.192 5.192
angles (deg): 90.00 90.00 90.00
Last column: magnetic moment on the atom in μB.
Fractional coordinates of all 5 atoms:
Ge  0.000  0.000  0.000  0.06
In  0.000  0.500  0.000  0.00
In  0.000  0.000  0.500  0.00
In  0.500  0.000  0.000  -0.01
Ta  0.500  0.500  0.500  1.55